Entry 1:
A relaxed structure of GaAsPb2, computed with GGA-PBEsol.

Summary:
- calculated volume (Å³ per atom) = 24.5
- E_tot (eV/atom) = -3.969
- energy of formation from the pure elements (eV/atom) = 0.142

abc: 7.3184 7.3184 7.3184
angles: 90.00 90.00 90.00
Space group Fm-3m (No. 225)
Symmetry-distinct sites (fractional):
Ga  0.0000  0.0000  0.0000
As  0.0000  0.0000  0.5000
Pb  0.2500  0.2500  0.2500



Entry 2:
A relaxed structure of Sc2SiPb, computed with GGA-PBEsol.

Summary:
- energy relative to the lowest polymorph listed for this composition (meV/atom) = 0
- calculated volume (Å³ per atom) = 20.3
- formation energy (no corrections) (eV/atom) = -0.49
- E_tot (eV/atom) = -6.234

abc: 3.1479 3.1479 8.2027
angles: 90.00 90.00 90.00
Space group P4/mmm (No. 123)
Symmetry-distinct sites (fractional):
Sc  0.0000  0.0000  0.2113
Si  0.5000  0.5000  0.0000
Pb  0.5000  0.5000  0.5000



Entry 3:
A relaxed structure of BeCrP, computed with GGA-PBEsol.

Summary:
- energy relative to the lowest polymorph listed for this composition (meV/atom) = 0
- calculated volume (Å³ per atom) = 11.6
- E_tot (eV/atom) = -6.730
- energy of formation from the pure elements (eV/atom) = -0.053

abc: 5.1872 5.1872 5.1872
angles: 90.00 90.00 90.00
Space group F-43m (No. 216)
Symmetry-distinct sites (fractional):
Be  0.0000  0.0000  0.0000
Cr  0.0000  0.0000  0.5000
P  0.2500  0.2500  0.2500



Entry 4:
A relaxed structure of Zn2CrCo, computed with GGA-PBEsol.

Summary:
- energy relative to the lowest polymorph listed for this composition (meV/atom) = 0
- calculated volume (Å³ per atom) = 11.9
- E_tot (eV/atom) = -5.273
- energy of formation from the pure elements (eV/atom) = 0.013

abc: 2.5862 2.5862 7.1144
angles: 90.00 90.00 90.00
Space group P4mm (No. 99)
Symmetry-distinct sites (fractional):
Zn  0.0000  0.0000  0.0000
Zn  0.5000  0.5000  0.2829
Cr  0.5000  0.5000  0.7362
Co  0.0000  0.0000  0.5269